(1)
Mg2TaFe: PBEsol geometry, meta-GGA SCAN.

Results
- calculated volume (A^3/atom) = 16.88
- relative energy among the computed polymorphs (meV/atom) = 0
- symmetry = R-3m
- calculated total energy (eV per atom) = -23.34
- formation energy (eV/atom) = 0.329
- total magnetic moment (μB per cell) = 2.7

Lattice parameters (Å, degrees): 2.843 2.843 9.781 81.64 81.64 60.00
Each line ends with the local moment (μB).
Sites, in units of the cell vectors:
Fe1 0.000 0.000 0.000  2.88
Mg1 0.743 0.743 0.772  -0.02
Mg2 0.257 0.257 0.228  -0.02
Ta1 0.500 0.500 0.500  0.02

(2)
NaTlCo2Se: PBEsol geometry, meta-GGA SCAN.

Results
- calculated volume (A^3/atom) = 26.13
- uncorrected formation energy (meV/atom) = 750
- symmetry = P4/mmm
- calculated total energy (eV per atom) = -25.50
- total magnetic moment (μB per cell) = 3.9

Lattice parameters (Å, degrees): 4.843 4.843 5.569 90.00 90.00 90.00
Each line ends with the local moment (μB).
Sites, in units of the cell vectors:
Na1 0.500 0.500 0.500  0.00
Tl1 0.000 0.000 0.000  -0.05
Co1 0.000 0.500 0.000  1.92
Se1 0.000 0.000 0.500  0.04
Co2 0.500 0.000 0.000  1.92

(3)
Li5SbS: PBEsol geometry, meta-GGA SCAN.

Results
- calculated volume (A^3/atom) = 16.90
- relative energy among the computed polymorphs (meV/atom) = 19
- uncorrected formation energy (meV/atom) = -968
- symmetry = Pnma
- calculated total energy (eV per atom) = -9.37
- total magnetic moment (μB per cell) = 0.0

Lattice parameters (Å, degrees): 6.100 8.060 9.623 90.00 90.00 90.00
Sites, in units of the cell vectors:
S1 0.750 0.357 0.537
Li1 0.516 0.661 0.918
Li2 0.993 0.552 0.629
Li3 0.016 0.161 0.582
Li4 0.007 0.052 0.871
Li5 0.507 0.948 0.129
Li6 0.507 0.552 0.629
Li7 0.493 0.448 0.371
S2 0.250 0.643 0.463
Sb1 0.250 0.367 0.825
Li8 0.984 0.839 0.418
Li9 0.750 0.325 0.810
Li10 0.484 0.161 0.582
Li11 0.250 0.825 0.690
Li12 0.484 0.339 0.082
S3 0.750 0.143 0.037
Li13 0.007 0.448 0.371
Sb2 0.750 0.633 0.175
Sb3 0.750 0.867 0.675
Li14 0.750 0.175 0.310
Li15 0.993 0.948 0.129
Li16 0.516 0.839 0.418
S4 0.250 0.857 0.963
Li17 0.493 0.052 0.871
Li18 0.250 0.675 0.190
Li19 0.016 0.339 0.082
Li20 0.984 0.661 0.918
Sb4 0.250 0.133 0.325

(4)
YBeCu2: PBEsol geometry, meta-GGA SCAN.

Results
- calculated volume (A^3/atom) = 15.61
- symmetry = R3m
- calculated total energy (eV per atom) = -15.82
- formation energy (eV/atom) = -0.175
- total magnetic moment (μB per cell) = 0.0

Lattice parameters (Å, degrees): 3.936 3.936 5.180 67.67 67.67 60.00
Sites, in units of the cell vectors:
Y1 0.507 0.507 0.478
Cu1 0.706 0.706 0.881
Be1 0.310 0.310 0.070
Cu2 0.981 0.981 0.058

(5)
ZrTiBi2W: PBEsol geometry, meta-GGA SCAN.

Results
- calculated volume (A^3/atom) = 27.48
- symmetry = P4/mmm
- calculated total energy (eV per atom) = -52.96
- formation energy (eV/atom) = 1.760
- total magnetic moment (μB per cell) = 3.7

Lattice parameters (Å, degrees): 4.580 5.477 5.477 90.00 90.00 90.00
Each line ends with the local moment (μB).
Sites, in units of the cell vectors:
Bi1 0.000 0.500 0.000  -0.04
Zr1 0.000 0.000 0.000  -0.03
Bi2 0.000 0.000 0.500  -0.04
Ti1 0.500 0.000 0.000  -0.08
W1 0.500 0.500 0.500  2.94

(6)
CaTlAs2: PBEsol geometry, meta-GGA SCAN.

Results
- calculated volume (A^3/atom) = 24.60
- symmetry = P4/mmm
- calculated total energy (eV per atom) = -31.14
- formation energy (eV/atom) = -0.536
- total magnetic moment (μB per cell) = 0.0

Lattice parameters (Å, degrees): 3.938 3.938 6.343 90.00 90.00 90.00
Sites, in units of the cell vectors:
Tl1 0.500 0.500 0.500
As1 0.000 0.000 0.193
As2 0.000 0.000 0.807
Ca1 0.500 0.500 0.000

(7)
YCuAg: PBEsol geometry, meta-GGA SCAN.

Results
- calculated volume (A^3/atom) = 18.73
- relative energy among the computed polymorphs (meV/atom) = 21
- symmetry = I4mm
- calculated total energy (eV per atom) = -25.06
- formation energy (eV/atom) = -0.254
- total magnetic moment (μB per cell) = 0.0

Lattice parameters (Å, degrees): 3.538 3.538 5.139 110.14 110.14 90.00
Sites, in units of the cell vectors:
Cu1 0.341 0.341 0.681
Y1 0.671 0.671 0.341
Ag1 0.989 0.989 0.978

(8)
Li2TiCr3O8: PBEsol geometry, meta-GGA SCAN.

Results
- calculated volume (A^3/atom) = 9.95
- relative energy among the computed polymorphs (meV/atom) = 75
- uncorrected formation energy (meV/atom) = -2572
- symmetry = C2/m
- calculated total energy (eV per atom) = -11.56
- total magnetic moment (μB per cell) = 8.0

Lattice parameters (Å, degrees): 5.787 5.764 5.846 89.13 119.67 120.14
Each line ends with the local moment (μB).
Sites, in units of the cell vectors:
O1 0.464 0.727 0.201  -0.01
Cr1 0.500 0.000 0.000  2.65
Li1 0.000 0.500 0.500  0.00
Li2 0.500 0.500 0.500  0.00
O2 0.521 0.759 0.782  0.02
O3 0.536 0.273 0.799  -0.01
Cr2 0.000 0.500 0.000  2.49
O4 0.479 0.241 0.218  0.02
O5 0.969 0.728 0.209  0.01
Ti1 0.000 0.000 0.000  0.07
O6 0.979 0.241 0.218  0.02
O7 0.021 0.759 0.782  0.02
O8 0.031 0.272 0.791  0.01
Cr3 0.500 0.500 0.000  2.49

(9)
Pr2MgS4: PBEsol geometry, meta-GGA SCAN.

Results
- calculated volume (A^3/atom) = 21.20
- uncorrected formation energy (meV/atom) = -2072
- symmetry = I-42d
- calculated total energy (eV per atom) = -20.66
- total magnetic moment (μB per cell) = 0.0

Lattice parameters (Å, degrees): 7.283 7.283 7.283 106.52 110.97 110.97
Sites, in units of the cell vectors:
S1 0.877 0.769 0.503
Pr1 0.876 0.501 0.125
Mg1 0.500 0.750 0.250
S2 0.735 0.109 0.231
S3 0.377 0.253 0.019
S4 0.123 0.626 0.891
Pr2 0.376 0.875 0.751
S5 0.765 0.124 0.747
Pr3 0.624 0.375 0.499
S6 0.235 0.981 0.359
Pr4 0.124 0.249 0.625
Mg2 0.000 0.000 0.000
S7 0.265 0.497 0.374
S8 0.623 0.641 0.876

(10)
La2IrPdRh: PBEsol geometry, meta-GGA SCAN.

Results
- calculated volume (A^3/atom) = 27.02
- symmetry = P4/mmm
- calculated total energy (eV per atom) = -44.41
- formation energy (eV/atom) = 0.359
- total magnetic moment (μB per cell) = 1.3

Lattice parameters (Å, degrees): 4.626 5.404 5.404 90.00 90.00 90.00
Each line ends with the local moment (μB).
Sites, in units of the cell vectors:
Pd1 0.000 0.000 0.000  0.15
La1 0.000 0.000 0.500  -0.06
Rh1 0.500 0.500 0.500  0.82
Ir1 0.500 0.000 0.000  0.65
La2 0.000 0.500 0.000  -0.06

(11)
TaCu2: PBEsol geometry, meta-GGA SCAN.

Results
- calculated volume (A^3/atom) = 13.98
- symmetry = P-3m1
- calculated total energy (eV per atom) = -32.08
- formation energy (eV/atom) = 0.250
- total magnetic moment (μB per cell) = 0.0

Lattice parameters (Å, degrees): 2.726 2.726 6.517 90.00 90.00 120.00
Sites, in units of the cell vectors:
Cu1 0.667 0.333 0.347
Cu2 0.333 0.667 0.653
Ta1 0.000 0.000 0.000

(12)
CaZnC2O6: PBEsol geometry, meta-GGA SCAN.

Results
- calculated volume (A^3/atom) = 10.67
- uncorrected formation energy (meV/atom) = -2008
- symmetry = R-3
- calculated total energy (eV per atom) = -10.08
- total magnetic moment (μB per cell) = 0.0

Lattice parameters (Å, degrees): 4.820 4.820 5.990 66.28 66.28 60.00
Sites, in units of the cell vectors:
O1 0.498 0.270 0.269
O2 0.502 0.730 0.731
O3 0.037 0.502 0.731
O4 0.730 0.037 0.731
Ca1 0.000 0.000 0.000
O5 0.963 0.498 0.269
C1 0.758 0.758 0.727
C2 0.242 0.242 0.273
O6 0.270 0.963 0.269
Zn1 0.500 0.500 0.500

(13)
MgCdPb2: PBEsol geometry, meta-GGA SCAN.

Results
- calculated volume (A^3/atom) = 25.97
- relative energy among the computed polymorphs (meV/atom) = 19
- symmetry = Pm
- calculated total energy (eV per atom) = -46.77
- formation energy (eV/atom) = -0.037
- total magnetic moment (μB per cell) = 0.0

Lattice parameters (Å, degrees): 3.594 4.922 6.137 90.00 106.86 90.00
Sites, in units of the cell vectors:
Cd1 0.303 0.000 0.476
Pb1 0.031 0.000 0.943
Pb2 0.719 0.500 0.307
Mg1 0.447 0.500 0.774

(14)
Y2FePb: PBEsol geometry, meta-GGA SCAN.

Results
- calculated volume (A^3/atom) = 23.19
- symmetry = I-4m2
- calculated total energy (eV per atom) = -37.58
- formation energy (eV/atom) = -0.182
- total magnetic moment (μB per cell) = 2.1

Lattice parameters (Å, degrees): 4.329 4.329 5.820 111.83 111.83 90.00
Each line ends with the local moment (μB).
Sites, in units of the cell vectors:
Y1 0.750 0.250 0.500  -0.27
Pb1 0.250 0.750 0.500  0.02
Fe1 0.500 0.500 0.000  2.92
Y2 0.000 0.000 0.000  -0.36

(15)
Ba2CuHg: PBEsol geometry, meta-GGA SCAN.

Results
- calculated volume (A^3/atom) = 33.81
- symmetry = Amm2
- calculated total energy (eV per atom) = -40.90
- formation energy (eV/atom) = -0.281
- total magnetic moment (μB per cell) = 0.0

Lattice parameters (Å, degrees): 4.641 4.819 6.477 89.99 111.00 90.00
Sites, in units of the cell vectors:
Hg1 0.685 0.875 0.369
Ba1 0.983 0.875 0.965
Cu1 0.568 0.375 0.135
Ba2 0.265 0.375 0.530

(16)
AlGeSb2: PBEsol geometry, meta-GGA SCAN.

Results
- calculated volume (A^3/atom) = 21.97
- relative energy among the computed polymorphs (meV/atom) = 198
- uncorrected formation energy (meV/atom) = 297
- symmetry = Fm-3m
- calculated total energy (eV per atom) = -25.04
- total magnetic moment (μB per cell) = 0.0

Lattice parameters (Å, degrees): 4.990 4.990 4.990 60.00 60.00 60.00
Sites, in units of the cell vectors:
Al1 0.000 0.000 0.000
Sb1 0.250 0.250 0.250
Sb2 0.750 0.750 0.750
Ge1 0.500 0.500 0.500

(17)
BBr2Cl: PBEsol geometry, meta-GGA SCAN.

Results
- calculated volume (A^3/atom) = 21.16
- uncorrected formation energy (meV/atom) = 682
- symmetry = R-3m
- calculated total energy (eV per atom) = -12.90
- total magnetic moment (μB per cell) = 0.7

Lattice parameters (Å, degrees): 3.260 3.260 9.385 80.00 80.00 60.00
Each line ends with the local moment (μB).
Sites, in units of the cell vectors:
B1 0.500 0.500 0.500  -0.01
Br1 0.883 0.883 0.352  0.00
Cl1 0.000 0.000 0.000  -0.55
Br2 0.117 0.117 0.648  0.00

(18)
Zr2HgRu: PBEsol geometry, meta-GGA SCAN.

Results
- calculated volume (A^3/atom) = 18.86
- symmetry = P4/mmm
- calculated total energy (eV per atom) = -41.63
- formation energy (eV/atom) = -0.534
- total magnetic moment (μB per cell) = 0.0

Lattice parameters (Å, degrees): 3.207 3.207 7.334 90.00 90.00 90.00
Sites, in units of the cell vectors:
Ru1 0.500 0.500 0.000
Hg1 0.500 0.500 0.500
Zr1 0.000 0.000 0.779
Zr2 0.000 0.000 0.221

(19)
Sc2In: PBEsol geometry, meta-GGA SCAN.

Results
- calculated volume (A^3/atom) = 24.03
- symmetry = Imma
- calculated total energy (eV per atom) = -20.73
- formation energy (eV/atom) = -0.113
- total magnetic moment (μB per cell) = 0.0

Lattice parameters (Å, degrees): 3.108 4.463 10.743 101.99 98.32 90.00
Sites, in units of the cell vectors:
Sc1 0.955 0.705 0.910
Sc2 0.045 0.295 0.090
In1 0.394 0.144 0.788
In2 0.606 0.856 0.212
Sc3 0.184 0.434 0.368
Sc4 0.816 0.566 0.632

(20)
Tm5Mg: PBEsol geometry, meta-GGA SCAN.

Results
- calculated volume (A^3/atom) = 27.48
- relative energy among the computed polymorphs (meV/atom) = 10
- symmetry = R32
- calculated total energy (eV per atom) = -44.01
- formation energy (eV/atom) = 0.017
- total magnetic moment (μB per cell) = 0.0

Lattice parameters (Å, degrees): 5.936 5.936 6.398 62.36 62.36 60.00
Sites, in units of the cell vectors:
Tm1 0.663 0.000 0.000
Tm2 0.832 0.832 0.503
Tm3 0.000 0.337 0.000
Mg1 0.500 0.500 0.500
Tm4 0.337 0.663 0.000
Tm5 0.168 0.168 0.497